Entry from the Alexandria database: a PBEsol-optimized structure of BaMnCdAu2 (meta-GGA SCAN).

Values from the calculation:
Its volume is 31.436 A^3/atom. The formation energy is 420.6 meV per atom. The density is 7.4 g/cm³. As for the calculated total energy: -224.4 eV for the cell shown. The density of states at the Fermi level is 2.07 states/eV/f.u.

a b c (Å): 5.170 5.170 5.880
angles (deg): 90.00 90.00 90.00
Space group P4/mmm (No. 123)
Symmetry-distinct sites (fractional):
Ba  0.000  0.000  0.000 (multiplicity 1)
Mn  0.500  0.500  0.000 (multiplicity 1)
Cd  0.000  0.000  0.500 (multiplicity 1)
Au  0.000  0.500  0.500 (multiplicity 2)

Entry from the Alexandria database: a PBEsol-optimized structure of YInPO2 (meta-GGA SCAN).

Values from the calculation:
Its volume is 19.932 A^3/atom. The density is 4.4 g/cm³. The energy relative to the elements, uncorrected is -1.1275 eV/atom. As for the calculated total energy: -89.7 eV for the cell shown. The density of states at the Fermi level is 3.03 states/eV/f.u.

a b c (Å): 4.171 4.171 5.727
angles (deg): 90.00 90.00 90.00
Space group P4/mmm (No. 123)
Symmetry-distinct sites (fractional):
Y  0.000  0.000  0.000 (multiplicity 1)
In  0.500  0.500  0.500 (multiplicity 1)
P  0.000  0.000  0.500 (multiplicity 1)
O  0.000  0.500  0.000 (multiplicity 2)

Entry from the Alexandria database: a PBEsol-optimized structure of TaZnI2N (meta-GGA SCAN).

Values from the calculation:
Its volume is 21.446 A^3/atom. The density is 8.0 g/cm³. The energy relative to the elements, uncorrected is 1.2551 eV/atom. As for the calculated total energy: -156.6 eV for the cell shown. The calculation puts the energy above the most stable polymorph in this dataset at 1102 meV per atom. The density of states at the Fermi level is 3.78 states/eV/f.u.

a b c (Å): 5.507 5.507 3.536
angles (deg): 90.00 90.00 90.00
Space group P4/mmm (No. 123)
Symmetry-distinct sites (fractional):
Ta  0.000  0.000  0.000 (multiplicity 1)
Zn  0.500  0.500  0.500 (multiplicity 1)
I  0.000  0.500  0.500 (multiplicity 2)
N  0.500  0.500  0.000 (multiplicity 1)

Entry from the Alexandria database: a PBEsol-optimized structure of Co2RuPt (meta-GGA SCAN).

Values from the calculation:
Its volume is 12.430 A^3/atom. The formation energy is 20.9 meV per atom. The density is 13.8 g/cm³. As for the calculated total energy: -558.2 eV for the cell shown. The calculation puts the energy above the most stable polymorph in this dataset at 0 meV per atom. The density of states at the Fermi level is 2.38 states/eV/f.u.

a b c (Å): 5.837 5.837 5.837
angles (deg): 90.00 90.00 90.00
Space group Fm-3m (No. 225)
Symmetry-distinct sites (fractional):
Co  0.250  0.250  0.250 (multiplicity 8)
Ru  0.000  0.000  0.000 (multiplicity 4)
Pt  0.000  0.000  0.500 (multiplicity 4)

Entry from the Alexandria database: a PBEsol-optimized structure of TaSi2Br (meta-GGA SCAN).

Values from the calculation:
Its volume is 16.523 A^3/atom. The density is 8.0 g/cm³. The energy relative to the elements, uncorrected is 0.7951 eV/atom. As for the calculated total energy: -102.9 eV for the cell shown. The calculation puts the energy above the most stable polymorph in this dataset at 643 meV per atom. The density of states at the Fermi level is 2.57 states/eV/f.u.

a b c (Å): 2.919 4.662 4.858
angles (deg): 90.00 90.00 90.00
Space group Pmmm (No. 47)
Symmetry-distinct sites (fractional):
Ta  0.000  0.000  0.000 (multiplicity 1)
Si  0.000  0.500  0.500 (multiplicity 1)
Si  0.500  0.000  0.500 (multiplicity 1)
Br  0.500  0.500  0.000 (multiplicity 1)

Entry from the Alexandria database: a PBEsol-optimized structure of Ti3Sn (meta-GGA SCAN).

Values from the calculation:
Its volume is 17.291 A^3/atom. The formation energy is -330.0 meV per atom. The density is 6.3 g/cm³. As for the calculated total energy: -85.3 eV for the cell shown. The density of states at the Fermi level is 4.10 states/eV/f.u.

a b c (Å): 4.105 4.105 4.105
angles (deg): 90.00 90.00 90.00
Space group Pm-3m (No. 221)
Symmetry-distinct sites (fractional):
Ti  0.000  0.000  0.500 (multiplicity 3)
Sn  0.500  0.500  0.500 (multiplicity 1)

Entry from the Alexandria database: a PBEsol-optimized structure of K2AsPt (meta-GGA SCAN).

Values from the calculation:
Its volume is 44.003 A^3/atom. The formation energy is -458.2 meV per atom. The density is 3.3 g/cm³. As for the calculated total energy: -435.5 eV for the cell shown. The density of states at the Fermi level is 0.93 states/eV/f.u.

a b c (Å): 12.396 12.396 4.582
angles (deg): 90.00 90.00 90.00
Space group I4_1/amd (No. 141, origin choice 2)
Symmetry-distinct sites (fractional):
K  0.000  0.000  0.000 (multiplicity 8)
As  0.000  0.250  0.375 (multiplicity 4)
Pt  0.000  0.250  0.875 (multiplicity 4)

Entry from the Alexandria database: a PBEsol-optimized structure of NbGeB3 (meta-GGA SCAN).

Values from the calculation:
Its volume is 12.343 A^3/atom. The formation energy is 1817.8 meV per atom. The density is 5.3 g/cm³. As for the calculated total energy: -65.4 eV for the cell shown. The density of states at the Fermi level is 3.31 states/eV/f.u.

a b c (Å): 3.952 3.952 3.952
angles (deg): 90.00 90.00 90.00
Space group Pm-3m (No. 221)
Symmetry-distinct sites (fractional):
Nb  0.000  0.000  0.000 (multiplicity 1)
Ge  0.500  0.500  0.500 (multiplicity 1)
B  0.000  0.500  0.500 (multiplicity 3)

Entry from the Alexandria database: a PBEsol-optimized structure of SbTe4W (meta-GGA SCAN).

Values from the calculation:
Its volume is 26.890 A^3/atom. The density is 8.4 g/cm³. The energy relative to the elements, uncorrected is 1.4354 eV/atom. As for the calculated total energy: -989.4 eV for the cell shown. The density of states at the Fermi level is 4.87 states/eV/f.u.

a b c (Å): 8.642 8.642 8.642
angles (deg): 90.00 90.00 90.00
Space group F-43m (No. 216)
Symmetry-distinct sites (fractional):
Sb  0.000  0.000  0.000 (multiplicity 4)
Te  0.124  0.124  0.624 (multiplicity 16)
W  0.250  0.250  0.250 (multiplicity 4)

Entry from the Alexandria database: a PBEsol-optimized structure of LiLaMg3 (meta-GGA SCAN).

Values from the calculation:
Its volume is 43.826 A^3/atom. The formation energy is 999.1 meV per atom. The density is 1.7 g/cm³. As for the calculated total energy: -55.4 eV for the cell shown. The density of states at the Fermi level is 6.04 states/eV/f.u.

a b c (Å): 6.029 6.029 6.029
angles (deg): 90.00 90.00 90.00
Space group Pm-3m (No. 221)
Symmetry-distinct sites (fractional):
Li  0.000  0.000  0.000 (multiplicity 1)
La  0.500  0.500  0.500 (multiplicity 1)
Mg  0.000  0.500  0.500 (multiplicity 3)

Entry from the Alexandria database: a PBEsol-optimized structure of Sb2HIrPb (meta-GGA SCAN).

Values from the calculation:
Its volume is 28.218 A^3/atom. The density is 7.6 g/cm³. As for the calculated total energy: -220.8 eV for the cell shown. The density of states at the Fermi level is 2.89 states/eV/f.u.

a b c (Å): 4.988 4.988 5.671
angles (deg): 90.00 90.00 90.00
Space group P4/mmm (No. 123)
Symmetry-distinct sites (fractional):
Sb  0.000  0.500  0.000 (multiplicity 2)
H  0.000  0.000  0.500 (multiplicity 1)
Ir  0.500  0.500  0.000 (multiplicity 1)
Pb  0.500  0.500  0.500 (multiplicity 1)

Entry from the Alexandria database: a PBEsol-optimized structure of Cd2HgRh (meta-GGA SCAN).

Values from the calculation:
Its volume is 17.669 A^3/atom. The formation energy is -49.7 meV per atom. The density is 12.4 g/cm³. As for the calculated total energy: -163.0 eV for the cell shown. The density of states at the Fermi level is 1.95 states/eV/f.u.

a b c (Å): 4.126 4.126 4.152
angles (deg): 90.00 90.00 90.00
Space group P4/mmm (No. 123)
Symmetry-distinct sites (fractional):
Cd  0.000  0.500  0.000 (multiplicity 2)
Hg  0.000  0.000  0.500 (multiplicity 1)
Rh  0.500  0.500  0.500 (multiplicity 1)

calculated total energy of number 1 (BaMnCdAu2)? -224.4 eV for the cell shown

Which of these has the highest calculated total energy? LiLaMg3

The highest calculated total energy belongs to which entry? LiLaMg3

Which value of calculated total energy does entry 9 give? -989.4 eV for the cell shown